Entry from the Alexandria database: Na2PbSe after structural relaxation (PBE).

abc: 5.278 5.278 5.278
angles: 60.00 60.00 60.00
Fractional coordinates of all 4 atoms:
Pb  0.500  0.500  0.500
Na  0.250  0.250  0.250
Na  0.750  0.750  0.750
Se  0.000  0.000  0.000

Output
Crystal system: cubic
Energy above the lowest structure with this stoichiometry in meV/atom: 78.3
Raw formation energy in eV/atom: -0.31
Space group: Fm-3m

=====

Entry from the Alexandria database: Hf2ZrTi after structural relaxation (PBE).

abc: 3.115 3.115 10.332
angles: 81.33 81.33 60.00
Fractional coordinates of all 4 atoms:
Hf  0.746  0.746  0.763
Hf  0.254  0.254  0.237
Zr  0.500  0.500  0.500
Ti  0.000  0.000  0.000

Output
Crystal system: trigonal
Energy above the lowest structure with this stoichiometry in meV/atom: 22.2
Energy of formation in eV/atom: 0.10
Space group: R-3m

=====

Entry from the Alexandria database: CePrBiAs after structural relaxation (PBE).

abc: 4.408 4.408 7.768
angles: 73.52 73.52 60.00
Last column: magnetic moment on the atom in μB.
Fractional coordinates of all 4 atoms:
Ce  0.992  0.992  0.023  0.68
Pr  0.508  0.508  0.477  0.01
Bi  0.748  0.748  0.756  -0.03
As  0.252  0.252  0.243  -0.02

Output
Crystal system: trigonal
Energy of formation in eV/atom: -1.15
Space group: R3m

=====

Entry from the Alexandria database: HoTh8 after structural relaxation (PBE).

abc: 5.032 7.971 7.971
angles: 84.28 71.60 71.60
Fractional coordinates of all 9 atoms:
Ho  0.000  0.000  0.000
Th  0.667  0.000  0.666
Th  0.333  0.000  0.334
Th  0.000  0.332  0.668
Th  0.333  0.334  0.000
Th  0.668  0.332  0.332
Th  0.667  0.666  0.000
Th  0.000  0.668  0.332
Th  0.332  0.668  0.668

Output
Crystal system: tetragonal
Energy above the lowest structure with this stoichiometry in meV/atom: 0.0
Energy of formation in eV/atom: 0.02
Space group: I4/mmm

=====

Entry from the Alexandria database: HfInGeO6 after structural relaxation (PBE).

abc: 4.789 4.789 9.488
angles: 90.00 90.00 90.00
Last column: magnetic moment on the atom in μB.
Fractional coordinates of all 18 atoms:
Hf  0.500  0.500  0.500  -0.03
Hf  0.000  0.000  0.000  -0.03
In  0.500  0.500  0.166  -0.01
In  0.000  0.000  0.666  -0.01
Ge  0.500  0.500  0.832  -0.01
Ge  0.000  0.000  0.332  -0.01
O  0.193  0.807  0.480  0.14
O  0.807  0.193  0.480  0.14
O  0.307  0.307  0.980  0.14
O  0.693  0.693  0.980  0.14
O  0.182  0.818  0.178  0.07
O  0.818  0.182  0.178  0.07
O  0.318  0.318  0.678  0.07
O  0.682  0.682  0.678  0.07
O  0.783  0.217  0.844  0.19
O  0.217  0.783  0.844  0.19
O  0.717  0.717  0.344  0.19
O  0.283  0.283  0.344  0.19

Output
Crystal system: tetragonal
Raw formation energy in eV/atom: -2.01
Space group: P4_2nm

=====

Entry from the Alexandria database: Pr5Ho4Er2 after structural relaxation (PBE).

abc: 3.561 11.671 9.043
angles: 93.88 101.36 90.00
Fractional coordinates of all 11 atoms:
Pr  0.902  0.464  0.805
Pr  0.098  0.536  0.195
Pr  0.823  0.928  0.646
Pr  0.500  0.000  0.000
Pr  0.177  0.072  0.354
Ho  0.359  0.205  0.719
Ho  0.964  0.739  0.928
Ho  0.641  0.795  0.281
Ho  0.036  0.261  0.072
Er  0.716  0.352  0.431
Er  0.284  0.648  0.569

Output
Crystal system: monoclinic
Energy above the lowest structure with this stoichiometry in meV/atom: 0.0
Energy of formation in eV/atom: 0.08
Space group: C2/m

=====

no.,density (Mg/m³),raw total energy (eV per atom)
1,5.306,-2.771
2,9.635,-8.991
3,7.596,-5.965
4,11.659,-7.080
5,7.049,-7.237
6,7.674,-4.589